Record 1
Material: Sc3Ga2Cu
Method: DFT, PBE
State: optimized geometry

Lattice parameters (Å, degrees): 3.221 3.221 10.653 90.00 90.00 90.00
Atoms (fractional coordinates):
Sc1 0.000 0.000 0.000
Sc2 0.000 0.000 0.654
Sc3 0.000 0.000 0.346
Ga1 0.500 0.500 0.825
Ga2 0.500 0.500 0.175
Cu1 0.500 0.500 0.500

## Properties
M_tot   0.00 μB per formula unit
Crystal system   tetragonal
Relative energy among the computed polymorphs   5 meV/atom



Record 2
Material: ScGaCu
Method: DFT, PBE
State: optimized geometry

Lattice parameters (Å, degrees): 3.097 3.097 5.602 106.05 106.05 90.00
Site moments in Bohr magnetons follow the coordinates.
Atoms (fractional coordinates):
Sc1 0.613 0.613 0.225  -0.09
Ga1 0.302 0.302 0.604  0.00
Cu1 0.935 0.935 0.871  0.00

## Properties
M_tot   0.12 μB per formula unit
Crystal system   tetragonal



Record 3
Material: Sc3Ga6Cu5
Method: DFT, PBE
State: optimized geometry

Lattice parameters (Å, degrees): 4.107 9.078 11.888 90.00 90.00 90.00
Atoms (fractional coordinates):
Sc1 0.000 0.251 0.708
Sc2 0.500 0.749 0.208
Sc3 0.500 0.749 0.792
Sc4 0.000 0.250 0.000
Sc5 0.500 0.750 0.500
Sc6 0.000 0.251 0.292
Ga1 0.000 0.976 0.846
Ga2 0.500 0.024 0.654
Ga3 0.500 0.398 0.831
Ga4 0.500 0.586 0.000
Ga5 0.000 0.414 0.500
Ga6 0.000 0.602 0.669
Ga7 0.000 0.602 0.331
Ga8 0.500 0.938 0.000
Ga9 0.000 0.976 0.154
Ga10 0.500 0.398 0.169
Ga11 0.000 0.062 0.500
Ga12 0.500 0.024 0.346
Cu1 0.000 0.533 0.879
Cu2 0.000 0.869 0.648
Cu3 0.000 0.768 0.000
Cu4 0.500 0.467 0.621
Cu5 0.500 0.232 0.500
Cu6 0.000 0.533 0.121
Cu7 0.500 0.467 0.379
Cu8 0.000 0.869 0.352
Cu9 0.500 0.131 0.852
Cu10 0.500 0.131 0.148

## Properties
M_tot   0.00 μB per formula unit
Crystal system   orthorhombic



Number 1: density 5.076 g/cm3, formation enthalpy at 0 K -292 kJ/mol of formula units, DFT total energy -5.362 eV per atom. Number 2: density 5.983 g/cm3, formation enthalpy at 0 K -93 kJ/mol of formula units, DFT total energy -4.806 eV per atom. Number 3: density 6.527 g/cm3, formation enthalpy at 0 K -538 kJ/mol of formula units, DFT total energy -4.515 eV per atom.